Compound: Ho3Ag4Sn4
Source: Alexandria via LeMat-Bulk
Functional: GGA-PBE
Structure: relaxed

Cell and atoms, written as CIF:
```
data_Ho3Ag4Sn4
_chemical_formula_sum 'Ho6 Ag8 Sn8'
_cell_length_a 4.570
_cell_length_b 7.372
_cell_length_c 15.272
_cell_angle_alpha 90.00
_cell_angle_beta 90.00
_cell_angle_gamma 90.00
_space_group_name_H-M_alt 'I m m m'
_space_group_IT_number 71
_space_group_name_Hall '-I 2 2'
loop_
_atom_site_label
_atom_site_type_symbol
_atom_site_fract_x
_atom_site_fract_y
_atom_site_fract_z
_atom_site_occupancy
Ho1 Ho 0.000 0.000 0.000 1
Ho2 Ho 0.000 0.500 0.127 1
Ag1 Ag 0.000 0.300 0.328 1
Sn1 Sn 0.000 0.000 0.214 1
Sn2 Sn 0.000 0.197 0.500 1
```

Values from the calculation:
- raw total energy (eV/cell) = -92.45
- crystal system = orthorhombic
- spin magnetization (μB/f.u.) = 0.0
- calculated formation energy (kJ/mol of atoms) = -44.51